Entry 1:
A plane-wave DFT calculation with PBE was carried out for a relaxed LiNiSn3 crystal.

energy = -81.0 eV/cell
formation energy = -0.110 eV per atom

abc: 8.630 12.064 4.255
angles: 90.00 90.00 90.00
Space group Cmmm (No. 65)
Inequivalent atoms, fractional coordinates:
Li1 0.000 0.000 0.000 (multiplicity 2)
Li2 0.000 0.500 0.500 (multiplicity 2)
Ni1 0.250 0.250 0.000 (multiplicity 4)
Sn1 0.000 0.360 0.000 (multiplicity 4)
Sn2 0.192 0.128 0.500 (multiplicity 8)



Entry 2:
A plane-wave DFT calculation with PBE was carried out for a relaxed LiNi3Sn crystal.

energy = -47.8 eV/cell
formation energy = -0.130 eV per atom

abc: 4.211 5.127 6.582
angles: 90.00 108.64 90.00
Space group P2_1/m (No. 11)
Inequivalent atoms, fractional coordinates:
Li1 0.017 0.250 0.033 (multiplicity 2)
Ni1 0.191 0.007 0.383 (multiplicity 4)
Ni2 0.367 0.750 0.734 (multiplicity 2)
Sn1 0.382 0.250 0.763 (multiplicity 2)



Entry 3:
A plane-wave DFT calculation with PBE was carried out for a relaxed LiNiSn3 crystal.

energy = -41.2 eV/cell
formation energy = -0.178 eV per atom

abc: 4.716 8.808 5.613
angles: 90.00 111.73 90.00
Space group P2_1/m (No. 11)
Inequivalent atoms, fractional coordinates:
Li1 0.202 0.250 0.381 (multiplicity 2)
Ni1 0.496 0.250 0.983 (multiplicity 2)
Sn1 0.080 0.750 0.186 (multiplicity 2)
Sn2 0.343 0.523 0.702 (multiplicity 4)



Entry 4:
A plane-wave DFT calculation with PBE was carried out for a relaxed Li8NiSn6 crystal.

energy = -146.4 eV/cell
formation energy = -0.245 eV per atom

abc: 7.9608 7.9608 17.6432
angles: 90.00 90.00 120.00
Space group R-3 (No. 148, hexagonal axes)
Inequivalent atoms, fractional coordinates:
Li1 0.0000 0.0000 0.1668 (multiplicity 6)
Li2 0.0057 0.6524 0.3826 (multiplicity 18)
Ni1 0.0000 0.0000 0.5000 (multiplicity 3)
Sn1 0.0020 0.6889 0.5522 (multiplicity 18)



Number 1: magnetic moment 0.000 μB/cell. Number 2: magnetic moment 0.000 μB/cell. Number 3: magnetic moment 0.000 μB/cell. Number 4: magnetic moment 0.000 μB/cell.